First-principles (GGA-PBE) data for an optimized crystal structure of LiMnW2, as listed in Alexandria.

The structure in POSCAR format:
```
LiMnW2
1.0
4.226 0.000 0.000
0.000 2.644 0.008
0.000 0.922 5.076
Li W Mn
1 2 1
Direct
0.500 0.250 0.250
0.000 0.487 0.503
0.000 0.013 0.997
0.500 0.750 0.750
```

Summary:
DOS at the Fermi energy ... 3.31 states/eV/cell
Energy above the most stable polymorph in this dataset ... 0.041 eV/atom
Total DFT energy (no corrections) ... -8.873 eV/atom

First-principles (GGA-PBE) data for an optimized crystal structure of Sc2BeSi, as listed in Alexandria.

The structure in POSCAR format:
```
Sc2BeSi
1.0
3.029 0.000 0.000
0.000 3.636 0.000
0.000 0.000 6.052
Si Sc Be
1 2 1
Direct
0.500 0.500 0.250
0.000 0.000 0.996
0.000 0.000 0.504
0.500 0.500 0.750
```

Summary:
DOS at the Fermi energy ... 1.32 states/eV/cell
Formation energy without anion corrections ... -336 meV per atom
Energy above the most stable polymorph in this dataset ... 0.166 eV/atom
Total DFT energy (no corrections) ... -5.789 eV/atom

First-principles (GGA-PBE) data for an optimized crystal structure of Co2NiW, as listed in Alexandria.

The structure in POSCAR format:
```
Co2NiW
1.0
2.621 -0.001 0.000
0.001 2.621 0.000
0.000 0.000 7.145
W Co Ni
1 2 1
Direct
0.500 0.500 0.751
0.500 0.500 0.243
0.000 0.000 0.022
0.000 0.000 0.483
```

Summary:
DOS at the Fermi energy ... 4.14 states/eV/cell
Energy above the most stable polymorph in this dataset ... 0.132 eV/atom
Total DFT energy (no corrections) ... -8.147 eV/atom

First-principles (GGA-PBE) data for an optimized crystal structure of SmGe4Pb, as listed in Alexandria.

The structure in POSCAR format:
```
SmGe4Pb
1.0
-1.890 5.147 -1.668
-1.740 0.801 -5.401
-5.563 0.781 -1.132
Ge Sm Pb
4 1 1
Direct
0.624 0.127 0.624
0.624 0.624 0.624
0.624 0.624 0.127
0.127 0.624 0.624
0.000 0.000 0.000
0.250 0.250 0.250
```

Summary:
DOS at the Fermi energy ... 2.62 states/eV/cell
Total DFT energy (no corrections) ... -4.627 eV/atom

First-principles (GGA-PBE) data for an optimized crystal structure of SbPt2O6, as listed in Alexandria.

The structure in POSCAR format:
```
SbPt2O6
1.0
4.481 0.000 0.000
0.000 8.101 -4.677
0.000 0.000 9.354
O Pt Sb
18 6 3
Direct
0.240 0.216 0.784
0.777 0.112 0.224
0.768 0.451 0.901
0.232 0.549 0.099
0.777 0.776 0.888
0.232 0.901 0.451
0.223 0.888 0.112
0.760 0.431 0.216
0.768 0.451 0.549
0.232 0.549 0.451
0.777 0.112 0.888
0.240 0.569 0.784
0.760 0.784 0.216
0.223 0.224 0.112
0.223 0.888 0.776
0.760 0.784 0.569
0.768 0.099 0.549
0.240 0.216 0.431
0.000 0.336 0.000
0.000 0.336 0.336
0.000 0.000 0.336
0.000 0.000 0.664
0.000 0.664 0.664
0.000 0.664 0.000
0.511 0.667 0.333
0.489 0.333 0.667
0.000 0.000 0.000
```

Summary:
DOS at the Fermi energy ... 3.51 states/eV/cell
Formation energy without anion corrections ... -704 meV per atom
Energy above the most stable polymorph in this dataset ... 0.000 eV/atom
Total DFT energy (no corrections) ... -5.810 eV/atom

First-principles (GGA-PBE) data for an optimized crystal structure of AgAs3Cl, as listed in Alexandria.

The structure in POSCAR format:
```
AgAs3Cl
1.0
-3.990 0.878 3.029
-3.093 -2.042 -3.483
0.615 -4.575 2.136
As Cl Ag
3 1 1
Direct
0.500 0.000 0.000
0.000 0.000 0.500
0.000 0.500 0.000
0.500 0.500 0.500
0.000 0.000 0.000
```

Summary:
DOS at the Fermi energy ... 7.41 states/eV/cell
Formation energy without anion corrections ... 943 meV per atom
Energy above the most stable polymorph in this dataset ... 0.000 eV/atom
Total DFT energy (no corrections) ... -2.787 eV/atom

First-principles (GGA-PBE) data for an optimized crystal structure of LaGa4Bi, as listed in Alexandria.

The structure in POSCAR format:
```
LaGa4Bi
1.0
5.775 0.000 0.000
2.887 5.001 0.000
2.887 1.667 4.715
La Ga Bi
1 4 1
Direct
0.250 0.250 0.250
0.625 0.625 0.625
0.625 0.625 0.124
0.124 0.625 0.625
0.625 0.124 0.625
0.000 0.000 0.000
```

Summary:
DOS at the Fermi energy ... 5.06 states/eV/cell
Total DFT energy (no corrections) ... -3.757 eV/atom

First-principles (GGA-PBE) data for an optimized crystal structure of SrTiOs2, as listed in Alexandria.

The structure in POSCAR format:
```
SrTiOs2
1.0
4.938 0.000 0.000
0.000 4.938 0.000
2.469 2.469 8.468
Os Ti Sr
4 2 2
Direct
0.375 0.125 0.250
0.375 0.625 0.750
0.375 0.625 0.250
0.875 0.625 0.750
0.250 0.750 0.500
0.500 0.500 0.000
0.000 0.000 0.000
0.750 0.250 0.500
```

Summary:
DOS at the Fermi energy ... 6.35 states/eV/cell
Energy above the most stable polymorph in this dataset ... 0.025 eV/atom
Total DFT energy (no corrections) ... -7.363 eV/atom

First-principles (GGA-PBE) data for an optimized crystal structure of Cu2GeAu2, as listed in Alexandria.

The structure in POSCAR format:
```
Cu2GeAu2
1.0
4.487 0.000 0.000
0.000 5.031 0.000
-2.243 0.000 7.047
Cu Au Ge
4 4 2
Direct
0.759 0.889 0.518
0.556 0.008 0.113
0.444 0.508 0.887
0.241 0.389 0.482
0.840 0.378 0.680
0.160 0.878 0.320
0.953 0.855 0.906
0.047 0.355 0.094
0.356 0.004 0.713
0.644 0.504 0.287
```

Summary:
DOS at the Fermi energy ... 2.80 states/eV/cell
Energy above the most stable polymorph in this dataset ... 0.008 eV/atom
Total DFT energy (no corrections) ... -3.828 eV/atom

First-principles (GGA-PBE) data for an optimized crystal structure of Zr4Tl2In, as listed in Alexandria.

The structure in POSCAR format:
```
Zr4Tl2In
1.0
7.584 0.004 -0.007
-2.523 7.152 0.007
-2.538 -3.573 6.190
In Zr Tl
2 8 4
Direct
0.000 0.000 0.000
0.750 0.500 0.250
0.628 0.750 0.525
0.775 0.250 0.878
0.628 0.750 0.025
0.122 0.897 0.372
0.975 0.603 0.725
0.275 0.250 0.878
0.122 0.397 0.372
0.475 0.103 0.225
0.251 0.626 0.125
0.499 0.374 0.625
0.875 0.126 0.501
0.375 0.874 0.749
```

Summary:
DOS at the Fermi energy ... 13.97 states/eV/cell
Energy above the most stable polymorph in this dataset ... 0.000 eV/atom
Total DFT energy (no corrections) ... -5.967 eV/atom

First-principles (GGA-PBE) data for an optimized crystal structure of NpTlHgI6, as listed in Alexandria.

The structure in POSCAR format:
```
NpTlHgI6
1.0
8.437 0.000 0.003
4.219 7.306 -0.002
-0.002 0.003 7.404
I Hg Tl Np
6 1 1 1
Direct
0.339 0.615 0.267
0.046 0.615 0.733
0.339 0.046 0.733
0.046 0.339 0.267
0.615 0.046 0.267
0.615 0.339 0.733
0.000 0.000 0.000
0.667 0.667 0.500
0.333 0.333 0.500
```

Summary:
DOS at the Fermi energy ... 9.73 states/eV/cell
Formation energy without anion corrections ... -572 meV per atom
Total DFT energy (no corrections) ... -3.340 eV/atom

First-principles (GGA-PBE) data for an optimized crystal structure of Ho6InAs2Se3, as listed in Alexandria.

The structure in POSCAR format:
```
Ho6InAs2Se3
1.0
4.077 0.000 0.000
0.000 8.361 0.315
-2.038 -2.394 8.700
Se Ho As In
3 6 2 1
Direct
0.168 0.831 0.335
0.500 0.500 0.000
0.832 0.169 0.665
0.669 0.093 0.338
0.671 0.576 0.342
0.331 0.907 0.662
0.998 0.740 0.995
0.002 0.260 0.005
0.329 0.424 0.658
0.167 0.336 0.335
0.833 0.664 0.665
0.500 0.000 0.000
```

Summary:
DOS at the Fermi energy ... 3.40 states/eV/cell
Formation energy without anion corrections ... -1444 meV per atom
Total DFT energy (no corrections) ... -5.607 eV/atom

First-principles (GGA-PBE) data for an optimized crystal structure of Sm2Cd13, as listed in Alexandria.

The structure in POSCAR format:
```
Sm2Cd13
1.0
-4.447 4.524 -4.709
-4.323 -3.310 -5.724
-8.338 -0.261 0.996
Cd Sm
13 2
Direct
0.188 0.188 0.801
0.188 0.823 0.801
0.653 0.043 0.652
0.812 0.812 0.199
0.653 0.653 0.652
0.500 0.500 0.500
0.812 0.177 0.199
0.177 0.812 0.199
0.043 0.653 0.652
0.347 0.347 0.348
0.347 0.957 0.348
0.823 0.188 0.801
0.957 0.347 0.348
0.343 0.343 0.970
0.657 0.657 0.030
```

Summary:
DOS at the Fermi energy ... 6.29 states/eV/cell
Total DFT energy (no corrections) ... -1.459 eV/atom

First-principles (GGA-PBE) data for an optimized crystal structure of Cd2AgRh, as listed in Alexandria.

The structure in POSCAR format:
```
Cd2AgRh
1.0
-4.714 -0.561 -1.114
0.147 -3.735 -3.132
1.963 0.178 4.460
Cd Ag Rh
2 1 1
Direct
0.500 0.500 0.000
0.000 0.000 0.000
0.250 0.750 0.500
0.750 0.250 0.500
```

Summary:
DOS at the Fermi energy ... 1.50 states/eV/cell
Energy above the most stable polymorph in this dataset ... 0.024 eV/atom
Total DFT energy (no corrections) ... -3.092 eV/atom

First-principles (GGA-PBE) data for an optimized crystal structure of Y2UTl2Se6, as listed in Alexandria.

The structure in POSCAR format:
```
Y2UTl2Se6
1.0
-5.974 -3.318 -2.249
5.451 -3.852 2.685
-2.892 3.080 7.029
Se Y Tl U
6 2 2 1
Direct
0.397 0.068 0.702
0.068 0.397 0.702
0.259 0.259 0.298
0.932 0.603 0.298
0.603 0.932 0.298
0.741 0.741 0.702
0.667 0.333 0.500
0.333 0.667 0.500
0.832 0.168 0.000
0.168 0.832 0.000
0.000 0.000 0.500
```

Summary:
DOS at the Fermi energy ... 7.02 states/eV/cell
Formation energy without anion corrections ... -1324 meV per atom
Total DFT energy (no corrections) ... -5.857 eV/atom

First-principles (GGA-PBE) data for an optimized crystal structure of Zr2Al2Au3, as listed in Alexandria.

The structure in POSCAR format:
```
Zr2Al2Au3
1.0
4.026 0.000 -0.960
0.000 6.930 0.000
0.172 0.000 9.646
Au Al Zr
6 4 4
Direct
0.221 0.750 0.442
0.568 0.451 0.136
0.432 0.549 0.864
0.568 0.049 0.136
0.432 0.951 0.864
0.779 0.250 0.558
0.695 0.952 0.390
0.305 0.048 0.610
0.305 0.452 0.610
0.695 0.548 0.390
0.150 0.250 0.300
0.958 0.250 0.916
0.042 0.750 0.084
0.850 0.750 0.700
```

Summary:
DOS at the Fermi energy ... 10.93 states/eV/cell
Energy above the most stable polymorph in this dataset ... 0.087 eV/atom
Total DFT energy (no corrections) ... -5.359 eV/atom

First-principles (GGA-PBE) data for an optimized crystal structure of Co4C3, as listed in Alexandria.

The structure in POSCAR format:
```
Co4C3
1.0
-3.283 -0.347 1.677
1.488 -2.891 -1.772
2.426 -1.475 4.444
Co C
4 3
Direct
0.667 0.333 0.500
0.000 0.000 0.227
0.000 0.000 0.773
0.333 0.667 0.500
0.500 0.000 0.000
0.500 0.500 0.000
0.000 0.500 0.000
```

Summary:
DOS at the Fermi energy ... 5.35 states/eV/cell
Energy above the most stable polymorph in this dataset ... 1.027 eV/atom
Total DFT energy (no corrections) ... -6.404 eV/atom

First-principles (GGA-PBE) data for an optimized crystal structure of PmBr4N2, as listed in Alexandria.

The structure in POSCAR format:
```
PmBr4N2
1.0
-2.245 2.512 -2.651
-5.990 -2.461 2.739
0.674 5.232 7.854
Br N Pm
4 2 1
Direct
0.400 0.921 0.801
0.937 0.391 0.875
0.063 0.609 0.125
0.600 0.079 0.199
0.757 0.737 0.514
0.243 0.263 0.486
0.000 0.000 0.000
```

Summary:
DOS at the Fermi energy ... 0.10 states/eV/cell
Formation energy without anion corrections ... 515 meV per atom
Total DFT energy (no corrections) ... -3.498 eV/atom

First-principles (GGA-PBE) data for an optimized crystal structure of Sr2NiBrN, as listed in Alexandria.

The structure in POSCAR format:
```
Sr2NiBrN
1.0
5.444 0.000 0.000
0.000 5.444 0.000
0.000 0.000 3.657
Sr N Br Ni
2 1 1 1
Direct
0.000 0.500 0.000
0.500 0.000 0.000
0.000 0.000 0.000
0.500 0.500 0.500
0.000 0.000 0.500
```

Summary:
DOS at the Fermi energy ... 1.62 states/eV/cell
Formation energy without anion corrections ... -886 meV per atom
Total DFT energy (no corrections) ... -4.714 eV/atom

First-principles (GGA-PBE) data for an optimized crystal structure of Ta2Co, as listed in Alexandria.

The structure in POSCAR format:
```
Ta2Co
1.0
-0.440 2.940 -0.361
-1.526 -1.496 2.098
4.531 1.187 4.141
Co Ta
1 2
Direct
0.000 0.000 0.000
0.667 0.333 0.689
0.333 0.667 0.311
```

Summary:
DOS at the Fermi energy ... 2.59 states/eV/cell
Total DFT energy (no corrections) ... -10.112 eV/atom